# CsThMnSe4 | Alexandria via LeMat-Bulk | PBE | optimized geometry
data_CsThMnSe4
_cell_length_a 6.9907
_cell_length_b 6.6075
_cell_length_c 10.0551
_cell_angle_alpha 90.00
_cell_angle_beta 108.03
_cell_angle_gamma 90.00
_space_group_name_H-M_alt 'P 1 21/m 1'
_space_group_IT_number 11
loop_
_space_group_symop_operation_xyz
'x,y,z'
'-x,-y,-z'
'-x,y+1/2,-z'
'x,-y+1/2,z'
loop_
_atom_site_label
_atom_site_type_symbol
_atom_site_fract_x
_atom_site_fract_y
_atom_site_fract_z
Cs1 Cs 0.2444 0.2500 0.4456
Th1 Th 0.2542 0.2500 0.9474
Mn1 Mn 0.2748 0.7500 0.1644
Se1 Se 0.0677 0.7500 0.3154
Se2 Se 0.0728 0.7500 0.9223
Se3 Se 0.4802 0.5124 0.8037
# - E_form (uncorrected): -1.20 eV per atom


# NaSn3Au2 | Alexandria via LeMat-Bulk | PBE | optimized geometry
data_NaSn3Au2
_cell_length_a 16.3395
_cell_length_b 4.6829
_cell_length_c 8.3127
_cell_angle_alpha 90.00
_cell_angle_beta 112.12
_cell_angle_gamma 90.00
_space_group_name_H-M_alt 'C 1 2/m 1'
_space_group_IT_number 12
loop_
_space_group_symop_operation_xyz
'x,y,z'
'-x,-y,-z'
'-x,y,-z'
'x,-y,z'
'x+1/2,y+1/2,z'
'-x+1/2,-y+1/2,-z'
'-x+1/2,y+1/2,-z'
'x+1/2,-y+1/2,z'
loop_
_atom_site_label
_atom_site_type_symbol
_atom_site_fract_x
_atom_site_fract_y
_atom_site_fract_z
Na1 Na 0.1079 0.0000 0.1627
Sn1 Sn 0.0702 0.0000 0.6921
Sn2 Sn 0.1135 0.5000 0.4622
Sn3 Sn 0.2133 0.5000 0.0519
Au1 Au 0.0316 0.5000 0.8580
Au2 Au 0.2251 0.0000 0.5879
# - Relative energy among the computed polymorphs: 16.5 meV/atom
# - Formation enthalpy at 0 K: -0.2034 eV/atom


# KSiNO2 | Alexandria via LeMat-Bulk | PBE | optimized geometry
data_KSiNO2
_cell_length_a 4.5294
_cell_length_b 4.5294
_cell_length_c 6.7355
_cell_angle_alpha 90.00
_cell_angle_beta 90.00
_cell_angle_gamma 90.00
_space_group_name_H-M_alt 'P 4/m m m'
_space_group_IT_number 123
_space_group_name_Hall '-P 4 2'
loop_
_atom_site_label
_atom_site_type_symbol
_atom_site_fract_x
_atom_site_fract_y
_atom_site_fract_z
K1 K 0.0000 0.0000 0.0000
Si1 Si 0.0000 0.0000 0.5000
N1 N 0.5000 0.5000 0.5000
O1 O 0.0000 0.5000 0.0000
# - E_form (uncorrected): 2.08 eV per atom


Number 1: DOS at the Fermi energy 0.519 states/eV/atom, total magnetic moment 4.00 μB per formula unit, calculated total energy -5.6826 eV/atom. Number 2: DOS at the Fermi energy 0.365 states/eV/atom, total magnetic moment 0.00 μB per formula unit, calculated total energy -3.5171 eV/atom. Number 3: DOS at the Fermi energy 1.033 states/eV/atom, total magnetic moment 4.00 μB per formula unit, calculated total energy -2.8745 eV/atom.